Record 1
## K2FeSi (meta-GGA SCAN)

Data for a crystal of K2FeSi relaxed with PBEsol.

POSCAR file:
```
K2FeSi
1.0
-1.509 -2.250 -0.892
0.957 -1.521 2.215
-8.616 3.381 6.046
K Fe Si
2 1 1
direct
0.000 0.000 0.242
0.000 0.000 0.758
0.500 0.500 0.500
0.500 0.500 0.000
```

Computed properties:
- Uncorrected energy: -41.05 eV/cell
- Total magnetic moment: 2.763 μB/cell
- E_form (uncorrected): 3.76 eV per formula unit
- N(E_F): 3.35 states/eV/cell
- Symmetry: P4/mmm
- Volume: 89.9 Å³/f.u.



Record 2
## KFe2Si (meta-GGA SCAN)

Data for a crystal of KFe2Si relaxed with PBEsol.

POSCAR file:
```
KFe2Si
1.0
-1.200 -2.274 1.433
-1.070 -1.036 -2.539
6.591 -4.160 -1.080
Fe Si K
2 1 1
direct
0.000 0.000 0.997
0.500 0.500 0.152
0.500 0.500 0.837
0.000 0.000 0.515
```

Computed properties:
- Uncorrected energy: -53.44 eV/cell
- Total magnetic moment: 5.295 μB/cell
- E_form (uncorrected): 1.17 eV per formula unit
- N(E_F): 1.39 states/eV/cell
- Symmetry: P4mm
- Volume: 68.2 Å³/f.u.



Record 3
## KFe2Si (meta-GGA SCAN)

Data for a crystal of KFe2Si relaxed with PBEsol.

POSCAR file:
```
KFe2Si
1.0
-0.295 2.847 0.457
-3.123 -0.285 -0.239
-0.456 -1.237 7.418
Fe K Si
2 1 1
direct
0.000 0.000 0.353
0.000 0.000 0.647
0.500 0.500 0.000
0.500 0.500 0.500
```

Computed properties:
- Uncorrected energy: -52.52 eV/cell
- Total magnetic moment: 4.755 μB/cell
- E_form (uncorrected): 2.09 eV per formula unit
- N(E_F): 2.88 states/eV/cell
- Symmetry: Pmmm
- Volume: 68.7 Å³/f.u.



Record 4
## KFe2Si (meta-GGA SCAN)

Data for a crystal of KFe2Si relaxed with PBEsol.

POSCAR file:
```
KFe2Si
1.0
-0.334 1.068 2.340
0.079 -5.080 1.058
4.744 1.625 -1.338
K Si Fe
1 1 2
direct
0.500 0.000 0.000
0.500 0.500 0.500
0.000 0.000 0.500
0.000 0.500 0.000
```

Computed properties:
- Uncorrected energy: -50.47 eV/cell
- Total magnetic moment: 5.494 μB/cell
- E_form (uncorrected): 4.13 eV per formula unit
- N(E_F): 2.12 states/eV/cell
- Symmetry: C2/m
- Volume: 60.5 Å³/f.u.



Record 5
## KSr4Fe (meta-GGA SCAN)

Data for a crystal of KSr4Fe relaxed with PBEsol.

POSCAR file:
```
KSr4Fe
1.0
-2.917 0.592 6.912
-7.456 -0.298 0.975
-3.127 -6.002 3.291
K Sr Fe
1 4 1
direct
0.000 0.000 0.000
0.376 0.872 0.376
0.376 0.376 0.872
0.376 0.376 0.376
0.872 0.376 0.376
0.750 0.750 0.750
```

Computed properties:
- Formation energy: 0.83 eV/atom
- Uncorrected energy: -110.56 eV/cell
- Total magnetic moment: 3.766 μB/cell
- N(E_F): 10.30 states/eV/cell
- Symmetry: F-43m
- Volume: 301.4 Å³/f.u.



Record 6
## K2TaFe (meta-GGA SCAN)

Data for a crystal of K2TaFe relaxed with PBEsol.

POSCAR file:
```
K2TaFe
1.0
2.790 0.000 0.000
0.000 2.790 0.000
0.000 0.000 11.969
K Fe Ta
2 1 1
direct
0.000 0.000 0.734
0.000 0.000 0.266
0.500 0.500 0.500
0.500 0.500 0.000
```

Computed properties:
- Formation energy: 1.42 eV/atom
- Uncorrected energy: -95.69 eV/cell
- Total magnetic moment: 1.867 μB/cell
- N(E_F): 4.30 states/eV/cell
- Symmetry: P4/mmm
- Volume: 93.1 Å³/f.u.



Record 7
## K3TaFe (meta-GGA SCAN)

Data for a crystal of K3TaFe relaxed with PBEsol.

POSCAR file:
```
K3TaFe
1.0
-5.953 -2.164 1.588
-0.788 -2.285 -6.067
2.566 -5.722 1.822
Fe K Ta
1 3 1
direct
0.500 0.500 0.500
0.000 0.000 0.500
0.000 0.500 0.000
0.500 0.000 0.000
0.000 0.000 0.000
```

Computed properties:
- Formation energy: 2.05 eV/atom
- Uncorrected energy: -99.47 eV/cell
- Total magnetic moment: 8.736 μB/cell
- N(E_F): 12.76 states/eV/cell
- Symmetry: Pm-3m
- Volume: 278.5 Å³/f.u.



Record 8
## K2TaFe (meta-GGA SCAN)

Data for a crystal of K2TaFe relaxed with PBEsol.

POSCAR file:
```
K2TaFe
1.0
3.227 0.000 0.000
0.000 3.227 0.000
0.000 0.000 10.787
Fe Ta K
1 1 2
direct
0.500 0.500 0.680
0.000 0.000 0.592
0.500 0.500 0.313
0.000 0.000 0.916
```

Computed properties:
- Formation energy: 0.72 eV/atom
- Uncorrected energy: -98.49 eV/cell
- Total magnetic moment: 1.707 μB/cell
- N(E_F): 2.75 states/eV/cell
- Symmetry: P4mm
- Volume: 112.3 Å³/f.u.



Record 9
## KTa2Fe (meta-GGA SCAN)

Data for a crystal of KTa2Fe relaxed with PBEsol.

POSCAR file:
```
KTa2Fe
1.0
-1.606 0.401 3.554
-3.326 -1.599 -1.322
4.108 -3.845 0.128
Ta K Fe
2 1 1
direct
0.750 0.250 0.500
0.250 0.750 0.500
0.000 0.000 0.000
0.500 0.500 0.000
```

Computed properties:
- Formation energy: 1.54 eV/atom
- Uncorrected energy: -153.48 eV/cell
- Total magnetic moment: 2.034 μB/cell
- N(E_F): 3.52 states/eV/cell
- Symmetry: I4/mmm
- Volume: 75.3 Å³/f.u.



Record 10
## K2TaFe (meta-GGA SCAN)

Data for a crystal of K2TaFe relaxed with PBEsol.

POSCAR file:
```
K2TaFe
1.0
5.550 0.000 0.000
2.775 4.806 0.000
2.775 1.602 4.531
K Fe Ta
2 1 1
direct
0.750 0.750 0.750
0.250 0.250 0.250
0.000 0.000 0.000
0.500 0.500 0.500
```

Computed properties:
- Formation energy: 2.07 eV/atom
- Uncorrected energy: -93.07 eV/cell
- Total magnetic moment: 7.510 μB/cell
- N(E_F): 7.97 states/eV/cell
- Symmetry: Fm-3m
- Volume: 120.9 Å³/f.u.



Record 11
## KTa3Fe (meta-GGA SCAN)

Data for a crystal of KTa3Fe relaxed with PBEsol.

POSCAR file:
```
KTa3Fe
1.0
4.508 0.000 0.000
0.000 4.508 0.000
0.000 0.000 4.508
K Ta Fe
1 3 1
direct
0.000 0.000 0.000
0.000 0.000 0.500
0.000 0.500 0.000
0.500 0.000 0.000
0.500 0.500 0.500
```

Computed properties:
- Formation energy: 3.22 eV/atom
- Uncorrected energy: -210.12 eV/cell
- Total magnetic moment: 3.313 μB/cell
- N(E_F): 5.48 states/eV/cell
- Symmetry: Pm-3m
- Volume: 91.6 Å³/f.u.



Record 12
## KTaFe2 (meta-GGA SCAN)

Data for a crystal of KTaFe2 relaxed with PBEsol.

POSCAR file:
```
KTaFe2
1.0
2.908 0.000 0.000
-1.454 4.258 0.033
0.000 -0.701 7.025
Fe K Ta
2 1 1
direct
0.233 0.466 0.123
0.767 0.534 0.877
0.000 0.000 0.500
0.500 0.000 0.000
```

Computed properties:
- Formation energy: 0.75 eV/atom
- Uncorrected energy: -108.16 eV/cell
- Total magnetic moment: 4.322 μB/cell
- N(E_F): 2.80 states/eV/cell
- Symmetry: C2/m
- Volume: 87.1 Å³/f.u.



Record 13
## KTaFe3 (meta-GGA SCAN)

Data for a crystal of KTaFe3 relaxed with PBEsol.

POSCAR file:
```
KTaFe3
1.0
4.678 0.000 0.000
0.000 4.678 0.000
0.000 0.000 4.678
Ta K Fe
1 1 3
direct
0.000 0.000 0.000
0.500 0.500 0.500
0.000 0.500 0.000
0.000 0.000 0.500
0.500 0.000 0.000
```

Computed properties:
- Formation energy: 1.41 eV/atom
- Uncorrected energy: -122.27 eV/cell
- Total magnetic moment: 6.506 μB/cell
- N(E_F): 5.10 states/eV/cell
- Symmetry: Pm-3m
- Volume: 102.4 Å³/f.u.



Record 14
## KTa2Fe (meta-GGA SCAN)

Data for a crystal of KTa2Fe relaxed with PBEsol.

POSCAR file:
```
KTa2Fe
1.0
-3.568 -1.610 -0.465
1.669 -3.322 -1.308
0.177 -1.718 4.588
Ta Fe K
2 1 1
direct
0.500 0.000 0.000
0.000 0.500 0.000
0.500 0.500 0.500
0.000 0.000 0.500
```

Computed properties:
- Formation energy: 1.54 eV/atom
- Uncorrected energy: -153.48 eV/cell
- Total magnetic moment: 1.914 μB/cell
- N(E_F): 3.67 states/eV/cell
- Symmetry: P4/mmm
- Volume: 76.2 Å³/f.u.



Record 15
## KTaFe2 (meta-GGA SCAN)

Data for a crystal of KTaFe2 relaxed with PBEsol.

POSCAR file:
```
KTaFe2
1.0
-2.269 -0.528 -3.793
1.333 -3.016 -2.990
-2.401 -3.690 -0.662
Fe K Ta
2 1 1
direct
0.250 0.250 0.250
0.000 0.000 0.000
0.500 0.500 0.500
0.750 0.750 0.750
```

Computed properties:
- Formation energy: 1.47 eV/atom
- Uncorrected energy: -105.30 eV/cell
- Total magnetic moment: 4.313 μB/cell
- N(E_F): 3.65 states/eV/cell
- Symmetry: F-43m
- Volume: 62.4 Å³/f.u.



Record 16
## K2TaFe (meta-GGA SCAN)

Data for a crystal of K2TaFe relaxed with PBEsol.

POSCAR file:
```
K2TaFe
1.0
-2.751 0.215 1.375
-0.318 -4.484 0.064
2.724 -0.116 5.471
Ta Fe K
1 1 2
direct
0.500 0.000 0.500
0.000 0.500 0.500
0.500 0.500 0.000
0.000 0.000 0.000
```

Computed properties:
- Formation energy: 1.38 eV/atom
- Uncorrected energy: -95.84 eV/cell
- Total magnetic moment: 0.730 μB/cell
- N(E_F): 3.18 states/eV/cell
- Symmetry: Pmmm
- Volume: 84.7 Å³/f.u.



Record 17
## KFe3Tc (meta-GGA SCAN)

Data for a crystal of KFe3Tc relaxed with PBEsol.

POSCAR file:
```
KFe3Tc
1.0
-0.577 -3.792 -1.803
4.102 -0.120 -1.059
0.896 -1.889 3.686
Tc Fe K
1 3 1
direct
0.500 0.500 0.500
0.500 0.000 0.000
0.000 0.500 0.000
0.000 0.000 0.500
0.000 0.000 0.000
```

Computed properties:
- Formation energy: 2.72 eV/atom
- Uncorrected energy: -84.18 eV/cell
- Total magnetic moment: 10.915 μB/cell
- N(E_F): 3.99 states/eV/cell
- Symmetry: Pm-3m
- Volume: 76.1 Å³/f.u.



Record 18
## KFe2Tc (meta-GGA SCAN)

Data for a crystal of KFe2Tc relaxed with PBEsol.

POSCAR file:
```
KFe2Tc
1.0
-1.220 -1.356 1.901
-0.358 -1.246 -2.294
7.984 -5.072 1.508
Tc K Fe
1 1 2
direct
0.500 0.500 0.000
0.500 0.500 0.500
0.000 0.000 0.798
0.000 0.000 0.202
```

Computed properties:
- Formation energy: 0.80 eV/atom
- Uncorrected energy: -76.45 eV/cell
- Total magnetic moment: 5.454 μB/cell
- N(E_F): 3.20 states/eV/cell
- Symmetry: Cmmm
- Volume: 62.9 Å³/f.u.



Record 19
## K2FeTc (meta-GGA SCAN)

Data for a crystal of K2FeTc relaxed with PBEsol.

POSCAR file:
```
K2FeTc
1.0
5.413 0.000 0.000
2.707 4.688 0.000
2.707 1.563 4.420
K Tc Fe
2 1 1
direct
0.250 0.250 0.250
0.750 0.750 0.750
0.500 0.500 0.500
0.000 0.000 0.000
```

Computed properties:
- Formation energy: 1.70 eV/atom
- Uncorrected energy: -63.03 eV/cell
- Total magnetic moment: 7.099 μB/cell
- N(E_F): 2.87 states/eV/cell
- Symmetry: Fm-3m
- Volume: 112.2 Å³/f.u.



Record 20
## K2FeTc (meta-GGA SCAN)

Data for a crystal of K2FeTc relaxed with PBEsol.

POSCAR file:
```
K2FeTc
1.0
-1.095 2.534 -1.378
1.157 -1.170 -3.071
-8.778 -5.296 0.688
Fe K Tc
1 2 1
direct
0.000 0.500 0.000
0.355 0.355 0.710
0.645 0.645 0.290
0.500 0.000 0.000
```

Computed properties:
- Formation energy: 0.89 eV/atom
- Uncorrected energy: -66.28 eV/cell
- Total magnetic moment: 1.419 μB/cell
- N(E_F): 2.61 states/eV/cell
- Symmetry: Immm
- Volume: 107.6 Å³/f.u.